A plane-wave DFT calculation with PBE-GGA was carried out for an optimized crystal structure of Pr3SmSb2.

Cell lengths 4.6182, 4.6182, 8.9111 Å; angles 90.00, 90.00, 90.00 degrees
Last column: nearest neighbours and their distance in Å.
Positions (direct):
Pr (0.0000, 0.0000, 0.0000)  4 Sm 3.27, 4 Sb 3.38
Pr (0.0000, 0.5000, 0.6442)  5 Sb 3.27-3.34
Pr (0.5000, 0.0000, 0.3558)  5 Sb 3.27-3.34
Sm (0.5000, 0.5000, 0.0000)  4 Pr 3.27, 4 Sb 3.38
Sb (0.0000, 0.5000, 0.2769)  7 Pr 3.27-3.38, 2 Sm 3.38
Sb (0.5000, 0.0000, 0.7231)  7 Pr 3.27-3.38, 2 Sm 3.38

Computed properties:
Its raw total energy is -5.38 eV/atom. As for the energy above the lowest structure with this stoichiometry: 0.000 eV per atom. The symmetry is P-4m2, No. 115. For the volume, the calculation gives 31.7 A^3/atom. The calculation puts the spin magnetization at 0.0 μB per formula unit.


A plane-wave DFT calculation with PBE-GGA was carried out for an optimized crystal structure of PrSm3Sb4.

Cell lengths 8.9842, 12.7072, 4.4958 Å; angles 90.00, 90.00, 90.00 degrees
Last column: nearest neighbours and their distance in Å.
Positions (direct):
Pr (0.0000, 0.0000, 0.0000)  6 Sb 3.20
Pr (0.5000, 0.5000, 0.0000)  6 Sb 3.20
Sm (0.0000, 0.5000, 0.0000)  6 Sb 3.15
Sm (0.2500, 0.2500, 0.5000)  6 Sb 3.18
Sm (0.2500, 0.7500, 0.5000)  6 Sb 3.18
Sm (0.5000, 0.0000, 0.0000)  6 Sb 3.15
Sm (0.7500, 0.2500, 0.5000)  6 Sb 3.18
Sm (0.7500, 0.7500, 0.5000)  6 Sb 3.18
Sb (0.0000, 0.2518, 0.0000)  5 Sm 3.15-3.18, 1 Pr 3.20
Sb (0.0000, 0.7482, 0.0000)  5 Sm 3.15-3.18, 1 Pr 3.20
Sb (0.2464, 0.5000, 0.5000)  4 Sm 3.15-3.18, 2 Pr 3.20
Sb (0.2536, 0.0000, 0.5000)  4 Sm 3.15-3.18, 2 Pr 3.20
Sb (0.5000, 0.2482, 0.0000)  5 Sm 3.15-3.18, 1 Pr 3.20
Sb (0.5000, 0.7518, 0.0000)  5 Sm 3.15-3.18, 1 Pr 3.20
Sb (0.7464, 0.0000, 0.5000)  4 Sm 3.15-3.18, 2 Pr 3.20
Sb (0.7536, 0.5000, 0.5000)  4 Sm 3.15-3.18, 2 Pr 3.20

Computed properties:
Its raw total energy is -5.61 eV/atom. As for the energy above the lowest structure with this stoichiometry: 0.004 eV per atom. The symmetry is Cmmm, No. 65. For the volume, the calculation gives 32.1 A^3/atom. The calculation puts the spin magnetization at 0.0 μB per formula unit.


A plane-wave DFT calculation with PBE-GGA was carried out for an optimized crystal structure of PrSm2Sb3.

Cell lengths 4.5039, 6.3605, 13.5002 Å; angles 90.00, 90.00, 90.00 degrees
Last column: nearest neighbours and their distance in Å.
Positions (direct):
Pr (0.0000, 0.0000, 0.0000)  6 Sb 3.18-3.21
Pr (0.5000, 0.5000, 0.5000)  6 Sb 3.18-3.21
Sm (0.0000, 0.0000, 0.3340)  6 Sb 3.16-3.18
Sm (0.0000, 0.0000, 0.6660)  6 Sb 3.16-3.18
Sm (0.5000, 0.5000, 0.1660)  6 Sb 3.16-3.18
Sm (0.5000, 0.5000, 0.8340)  6 Sb 3.16-3.18
Sb (0.0000, 0.5000, 0.0000)  4 Sm 3.18, 2 Pr 3.18
Sb (0.0000, 0.5000, 0.3305)  4 Sm 3.16-3.18, 2 Pr 3.21
Sb (0.0000, 0.5000, 0.6695)  4 Sm 3.16-3.18, 2 Pr 3.21
Sb (0.5000, 0.0000, 0.1695)  4 Sm 3.16-3.18, 2 Pr 3.21
Sb (0.5000, 0.0000, 0.5000)  4 Sm 3.18, 2 Pr 3.18
Sb (0.5000, 0.0000, 0.8305)  4 Sm 3.16-3.18, 2 Pr 3.21

Computed properties:
Its raw total energy is -5.61 eV/atom. As for the energy above the lowest structure with this stoichiometry: 0.000 eV per atom. The symmetry is Immm, No. 71. For the volume, the calculation gives 32.2 A^3/atom. The calculation puts the spin magnetization at 0.0 μB per formula unit.


A plane-wave DFT calculation with PBE-GGA was carried out for an optimized crystal structure of PrSm3Sb3.

Cell lengths 8.2360, 8.2360, 8.2360 Å; angles 68.55, 68.55, 68.55 degrees
Last column: nearest neighbours and their distance in Å.
Positions (direct):
Pr (0.1662, 0.1662, 0.1662)  6 Sb 3.25-3.30
Pr (0.8338, 0.8338, 0.8338)  6 Sb 3.25-3.30
Sm (0.1472, 0.4093, 0.6840)  5 Sb 3.13-3.30
Sm (0.3160, 0.8528, 0.5907)  5 Sb 3.13-3.30
Sm (0.4093, 0.6840, 0.1472)  5 Sb 3.13-3.30
Sm (0.5907, 0.3160, 0.8528)  5 Sb 3.13-3.30
Sm (0.6840, 0.1472, 0.4093)  5 Sb 3.13-3.30
Sm (0.8528, 0.5907, 0.3160)  5 Sb 3.13-3.30
Sb (0.0382, 0.7962, 0.4243)  5 Sm 3.13-3.30, 2 Pr 3.25-3.30
Sb (0.2038, 0.5757, 0.9618)  5 Sm 3.13-3.30, 2 Pr 3.25-3.30
Sb (0.4243, 0.0382, 0.7962)  5 Sm 3.13-3.30, 2 Pr 3.25-3.30
Sb (0.5757, 0.9618, 0.2038)  5 Sm 3.13-3.30, 2 Pr 3.25-3.30
Sb (0.7962, 0.4243, 0.0382)  5 Sm 3.13-3.30, 2 Pr 3.25-3.30
Sb (0.9618, 0.2038, 0.5757)  5 Sm 3.13-3.30, 2 Pr 3.25-3.30

Computed properties:
Its raw total energy is -5.41 eV/atom. As for the energy above the lowest structure with this stoichiometry: 0.109 eV per atom. The symmetry is R-3, No. 148. For the volume, the calculation gives 33.3 A^3/atom. The calculation puts the spin magnetization at 0.0 μB per formula unit.


A plane-wave DFT calculation with PBE-GGA was carried out for an optimized crystal structure of Pr2SmSb2.

Cell lengths 8.1101, 8.1101, 8.1101 Å; angles 114.43, 84.24, 133.39 degrees
Last column: nearest neighbours and their distance in Å.
Positions (direct):
Pr (0.1501, 0.1409, 0.2910)  5 Sb 3.14-3.32
Pr (0.3499, 0.6409, 0.9908)  5 Sb 3.14-3.32
Pr (0.6501, 0.3591, 0.0092)  5 Sb 3.14-3.32
Pr (0.8499, 0.8591, 0.7090)  5 Sb 3.14-3.32
Sm (0.2500, 0.7500, 0.5000)  2 Sm 3.21, 4 Sb 3.21
Sm (0.7500, 0.2500, 0.5000)  2 Sm 3.21, 4 Sb 3.21
Sb (0.1094, 0.7795, 0.8889)  5 Pr 3.14-3.32, 2 Sm 3.21
Sb (0.3906, 0.2795, 0.6701)  5 Pr 3.14-3.32, 2 Sm 3.21
Sb (0.6094, 0.7205, 0.3299)  5 Pr 3.14-3.32, 2 Sm 3.21
Sb (0.8906, 0.2205, 0.1111)  5 Pr 3.14-3.32, 2 Sm 3.21

Computed properties:
Its raw total energy is -5.38 eV/atom. The symmetry is Ibam, No. 72. For the volume, the calculation gives 33.9 A^3/atom. The calculation puts the spin magnetization at 0.0 μB per formula unit.


A plane-wave DFT calculation with PBE-GGA was carried out for an optimized crystal structure of PrSm2Sb3.

Cell lengths 8.9539, 8.9539, 8.9539 Å; angles 51.09, 51.09, 51.09 degrees
Last column: nearest neighbours and their distance in Å.
Positions (direct):
Pr (0.0000, 0.0000, 0.0000)  6 Sb 3.23
Pr (0.5000, 0.5000, 0.5000)  6 Sb 3.23
Sm (0.1666, 0.1666, 0.1666)  6 Sb 3.20-3.23
Sm (0.3334, 0.3334, 0.3334)  6 Sb 3.20-3.23
Sm (0.6666, 0.6666, 0.6666)  6 Sb 3.20-3.23
Sm (0.8334, 0.8334, 0.8334)  6 Sb 3.20-3.23
Sb (0.0799, 0.7500, 0.4201)  4 Sm 3.20-3.23, 2 Pr 3.23
Sb (0.2500, 0.5799, 0.9201)  4 Sm 3.20-3.23, 2 Pr 3.23
Sb (0.4201, 0.0799, 0.7500)  4 Sm 3.20-3.23, 2 Pr 3.23
Sb (0.5799, 0.9201, 0.2500)  4 Sm 3.20-3.23, 2 Pr 3.23
Sb (0.7500, 0.4201, 0.0799)  4 Sm 3.20-3.23, 2 Pr 3.23
Sb (0.9201, 0.2500, 0.5799)  4 Sm 3.20-3.23, 2 Pr 3.23

Computed properties:
Its raw total energy is -5.49 eV/atom. As for the energy above the lowest structure with this stoichiometry: 0.119 eV per atom. The symmetry is R-3c, No. 167. For the volume, the calculation gives 33.4 A^3/atom. The calculation puts the spin magnetization at 0.0 μB per formula unit.


A plane-wave DFT calculation with PBE-GGA was carried out for an optimized crystal structure of Pr3SmSb2.

Cell lengths 9.1462, 9.1462, 9.1462 Å; angles 132.88, 72.41, 128.45 degrees
Last column: nearest neighbours and their distance in Å.
Positions (direct):
Pr (0.0415, 0.7500, 0.2915)  4 Sb 3.21-3.22
Pr (0.2500, 0.2500, 0.0000)  4 Sb 3.20
Pr (0.4585, 0.7500, 0.7085)  4 Sb 3.21-3.22
Pr (0.5415, 0.2500, 0.2915)  4 Sb 3.21-3.22
Pr (0.7500, 0.7500, 0.0000)  4 Sb 3.20
Pr (0.9585, 0.2500, 0.7085)  4 Sb 3.21-3.22
Sm (0.0000, 0.5000, 0.5000)  2 Sb 3.19
Sm (0.5000, 0.0000, 0.5000)  2 Sb 3.19
Sb (0.1455, 0.1780, 0.3235)  1 Sm 3.19, 6 Pr 3.20-3.22
Sb (0.3545, 0.6780, 0.0326)  1 Sm 3.19, 6 Pr 3.20-3.22
Sb (0.6455, 0.3220, 0.9674)  1 Sm 3.19, 6 Pr 3.20-3.22
Sb (0.8545, 0.8220, 0.6765)  1 Sm 3.19, 6 Pr 3.20-3.22

Computed properties:
Its raw total energy is -5.18 eV/atom. As for the energy above the lowest structure with this stoichiometry: 0.198 eV per atom. The symmetry is Ibam, No. 72. For the volume, the calculation gives 35.8 A^3/atom. The calculation puts the spin magnetization at 0.0 μB per formula unit.


A plane-wave DFT calculation with PBE-GGA was carried out for an optimized crystal structure of PrSmSb2.

Cell lengths 4.5169, 4.5169, 22.0969 Å; angles 90.00, 90.00, 120.00 degrees
Last column: nearest neighbours and their distance in Å.
Positions (direct):
Pr (0.0000, 0.0000, 0.0000)  6 Sb 3.22
Pr (0.3333, 0.6667, 0.6667)  6 Sb 3.22
Pr (0.6667, 0.3333, 0.3333)  6 Sb 3.22
Sm (0.0000, 0.0000, 0.5000)  6 Sb 3.17
Sm (0.3333, 0.6667, 0.1667)  6 Sb 3.17
Sm (0.6667, 0.3333, 0.8333)  6 Sb 3.17
Sb (0.0000, 0.0000, 0.2482)  3 Sm 3.17, 3 Pr 3.22
Sb (0.0000, 0.0000, 0.7518)  3 Sm 3.17, 3 Pr 3.22
Sb (0.3333, 0.6667, 0.4185)  3 Sm 3.17, 3 Pr 3.22
Sb (0.3333, 0.6667, 0.9149)  3 Sm 3.17, 3 Pr 3.22
Sb (0.6667, 0.3333, 0.0851)  3 Sm 3.17, 3 Pr 3.22
Sb (0.6667, 0.3333, 0.5815)  3 Sm 3.17, 3 Pr 3.22

Computed properties:
Its raw total energy is -5.62 eV/atom. As for the energy above the lowest structure with this stoichiometry: 0.000 eV per atom. The symmetry is R-3m, No. 166. For the volume, the calculation gives 32.5 A^3/atom. The calculation puts the spin magnetization at 0.0 μB per formula unit.